# Tb2PrBi PBE relaxed
# Relative energy among the computed polymorphs in meV/atom: 0
# Magnetic moment in μB per atom: 0.1382
# E_form in kJ/mol of formula units: -159
# Density of states at the Fermi level in states/eV/cell: 23.70
data_Tb2PrBi
_cell_length_a 4.162
_cell_length_b 12.581
_cell_length_c 9.945
_cell_angle_alpha 90.00
_cell_angle_beta 90.00
_cell_angle_gamma 90.00
_space_group_name_H-M_alt 'C m c m'
_space_group_IT_number 63
_space_group_name_Hall '-C 2c 2'
loop_
_atom_site_label
_atom_site_fract_x
_atom_site_fract_y
_atom_site_fract_z
Tb1 0.000 0.136 0.037
Pr1 0.000 0.446 0.250
Bi1 0.000 0.266 0.750

***

# V3As2C PBE relaxed
# Magnetic moment in μB per atom: 0.1169
# E_form in kJ/mol of formula units: -149
# Density of states at the Fermi level in states/eV/cell: 16.56
data_V3As2C
_cell_length_a 6.419
_cell_length_b 9.840
_cell_length_c 5.479
_cell_angle_alpha 90.00
_cell_angle_beta 111.36
_cell_angle_gamma 90.00
_space_group_name_H-M_alt 'C 1 2/c 1'
_space_group_IT_number 15
loop_
_space_group_symop_operation_xyz
'x,y,z'
'-x,-y,-z'
'-x,y,-z+1/2'
'x,-y,z+1/2'
'x+1/2,y+1/2,z'
'-x+1/2,-y+1/2,-z'
'-x+1/2,y+1/2,-z+1/2'
'x+1/2,-y+1/2,z+1/2'
loop_
_atom_site_label
_atom_site_fract_x
_atom_site_fract_y
_atom_site_fract_z
V1 0.160 0.067 0.493
V2 0.250 0.250 0.000
As1 0.000 0.282 0.250
As2 0.000 0.436 0.750
C1 0.000 0.097 0.750

***

# AgB2SeO6 PBE relaxed
# Magnetic moment in μB per atom: 0.0983
# E_form (uncorrected) in kcal/mol of atoms: -29.5
# Density of states at the Fermi level in states/eV/cell: 6.47
data_AgB2SeO6
_cell_length_a 11.923
_cell_length_b 9.377
_cell_length_c 4.842
_cell_angle_alpha 90.00
_cell_angle_beta 109.59
_cell_angle_gamma 90.00
_space_group_name_H-M_alt 'C 1 2/c 1'
_space_group_IT_number 15
loop_
_space_group_symop_operation_xyz
'x,y,z'
'-x,-y,-z'
'-x,y,-z+1/2'
'x,-y,z+1/2'
'x+1/2,y+1/2,z'
'-x+1/2,-y+1/2,-z'
'-x+1/2,y+1/2,-z+1/2'
'x+1/2,-y+1/2,z+1/2'
loop_
_atom_site_label
_atom_site_fract_x
_atom_site_fract_y
_atom_site_fract_z
Ag1 0.000 0.086 0.250
B1 0.230 0.468 0.200
Se1 0.000 0.350 0.750
O1 0.084 0.245 0.619
O2 0.122 0.404 0.139
O3 0.212 0.003 0.003